Here is crystalline CdInN2 at its relaxed geometry from Alexandria. Energies are from PBE.

Lattice parameters (Å, degrees): 3.5901 3.5901 18.6647 90.00 90.00 120.00
Space group R-3m (No. 166, hexagonal axes)
One atom of each set of equivalent atoms:
Cd  0.0000  0.0000  0.0000 x3
In  0.0000  0.0000  0.5000 x3
N  0.0000  0.0000  0.3927 x6

For the total moment, the calculation gives 0.000 μB/atom. The formation energy without anion corrections comes out at 1.05 eV per atom. The crystal system is trigonal. The value obtained for the electronic total energy is -4.0231 eV per atom.



Here is crystalline RbSCl6 at its relaxed geometry from Alexandria. Energies are from PBE.

Lattice parameters (Å, degrees): 10.631 8.395 7.143 90.00 126.26 90.00
Space group C2/m (No. 12)
One atom of each set of equivalent atoms:
Rb  0.000  0.000  0.000 x2
S  0.000  0.500  0.500 x2
Cl  0.140  0.310  0.777 x8
Cl  0.178  0.500  0.425 x4

For the total moment, the calculation gives 0.000 μB/atom. The formation energy without anion corrections comes out at -0.49 eV per atom. The crystal system is monoclinic. The value obtained for the electronic total energy is -2.5133 eV per atom.



Here is crystalline Ba4CdPt at its relaxed geometry from Alexandria. Energies are from PBE.

Lattice parameters (Å, degrees): 18.134 7.752 8.471 90.00 107.45 90.00
Space group C2/c (No. 15)
One atom of each set of equivalent atoms:
Ba  0.097  0.082  0.472 x8
Ba  0.175  0.435  0.149 x8
Cd  0.000  0.321  0.750 x4
Pt  0.250  0.250  0.500 x4

For the total moment, the calculation gives 0.000 μB/atom. The crystal system is monoclinic. The formation energy comes out at -0.36 eV/atom. The value obtained for the electronic total energy is -2.7993 eV per atom.



Here is crystalline K2GeB at its relaxed geometry from Alexandria. Energies are from PBE.

Lattice parameters (Å, degrees): 7.680 7.680 7.680 90.00 90.00 90.00
Space group Fm-3m (No. 225)
One atom of each set of equivalent atoms:
K  0.250  0.250  0.250 x8
Ge  0.000  0.000  0.000 x4
B  0.000  0.000  0.500 x4

For the total moment, the calculation gives 0.000 μB/atom. The crystal system is cubic. The formation energy comes out at 1.18 eV/atom. The value obtained for the electronic total energy is -2.1970 eV per atom.



Here is crystalline HfHgB2W at its relaxed geometry from Alexandria. Energies are from PBE.

Lattice parameters (Å, degrees): 4.151 4.151 5.198 90.00 90.00 90.00
Space group P4/mmm (No. 123)
One atom of each set of equivalent atoms:
Hf  0.000  0.000  0.000 x1
Hg  0.500  0.500  0.000 x1
B  0.000  0.500  0.500 x2
W  0.500  0.500  0.500 x1

For the total moment, the calculation gives 0.000 μB/atom. The crystal system is tetragonal. The formation energy comes out at 1.14 eV/atom. The value obtained for the electronic total energy is -6.1728 eV per atom.



Here is crystalline Li4Zn2Ir at its relaxed geometry from Alexandria. Energies are from PBE.

Lattice parameters (Å, degrees): 6.180 6.180 4.901 90.00 90.00 90.00
Space group I4/mmm (No. 139)
One atom of each set of equivalent atoms:
Li  0.198  0.198  0.000 x8
Zn  0.000  0.500  0.250 x4
Ir  0.000  0.000  0.500 x2

For the total moment, the calculation gives 0.000 μB/atom. The crystal system is tetragonal. The formation energy comes out at 0.02 eV/atom. The value obtained for the electronic total energy is -2.7049 eV per atom.



Here is crystalline Rb3H7Ir at its relaxed geometry from Alexandria. Energies are from PBE.

Lattice parameters (Å, degrees): 7.671 8.919 6.411 90.00 102.78 90.00
Space group Cm (No. 8)
One atom of each set of equivalent atoms:
Rb  0.000  0.000  0.000 x2
Rb  0.459  0.210  0.499 x4
H  0.071  0.326  0.070 x4
H  0.127  0.500  0.827 x2
H  0.184  0.500  0.215 x2
H  0.350  0.109  0.870 x4
H  0.374  0.000  0.194 x2
Ir  0.004  0.500  0.016 x2

For the total moment, the calculation gives 0.074 μB/atom. The crystal system is monoclinic. The value obtained for the electronic total energy is -3.4193 eV per atom.



Here is crystalline AgHg2Os at its relaxed geometry from Alexandria. Energies are from PBE.

Lattice parameters (Å, degrees): 6.659 6.659 6.659 90.00 90.00 90.00
Space group Fm-3m (No. 225)
One atom of each set of equivalent atoms:
Ag  0.000  0.000  0.000 x4
Hg  0.250  0.250  0.250 x8
Os  0.000  0.000  0.500 x4

For the total moment, the calculation gives 0.000 μB/atom. The crystal system is cubic. The formation energy comes out at 0.78 eV/atom. The value obtained for the electronic total energy is -2.8884 eV per atom.



Here is crystalline CaDyZnCd at its relaxed geometry from Alexandria. Energies are from PBE.

Lattice parameters (Å, degrees): 7.401 7.401 7.401 90.00 90.00 90.00
Space group F-43m (No. 216)
One atom of each set of equivalent atoms:
Ca  0.000  0.000  0.000 x4
Dy  0.000  0.000  0.500 x4
Zn  0.250  0.250  0.250 x4
Cd  0.250  0.250  0.750 x4

For the total moment, the calculation gives 0.000 μB/atom. The crystal system is cubic. The formation energy comes out at -0.30 eV/atom. The value obtained for the electronic total energy is -2.4981 eV per atom.



Here is crystalline TmAg2TeSe4 at its relaxed geometry from Alexandria. Energies are from PBE.

Lattice parameters (Å, degrees): 11.767 11.297 8.092 90.00 132.82 90.00
Space group C2/c (No. 15)
One atom of each set of equivalent atoms:
Tm  0.000  0.000  0.000 x4
Ag  0.000  0.500  0.000 x4
Ag  0.250  0.250  0.000 x4
Te  0.250  0.250  0.500 x4
Se  0.034  0.255  0.544 x8
Se  0.234  0.001  0.982 x8

For the total moment, the calculation gives 0.000 μB/atom. The formation energy without anion corrections comes out at -0.55 eV per atom. The crystal system is monoclinic. The value obtained for the electronic total energy is -3.9529 eV per atom.



Here is crystalline MgBe6 at its relaxed geometry from Alexandria. Energies are from PBE.

Lattice parameters (Å, degrees): 5.668 5.668 5.668 90.00 90.00 90.00
Space group Im-3m (No. 229)
One atom of each set of equivalent atoms:
Mg  0.000  0.000  0.000 x2
Be  0.000  0.250  0.500 x12

For the total moment, the calculation gives 0.000 μB/atom. The crystal system is cubic. The formation energy comes out at 1.00 eV/atom. The value obtained for the electronic total energy is -2.4177 eV per atom.



Here is crystalline PmHPd4 at its relaxed geometry from Alexandria. Energies are from PBE.

Lattice parameters (Å, degrees): 3.928 3.928 6.533 90.00 90.00 90.00
Space group P4/mmm (No. 123)
One atom of each set of equivalent atoms:
Pm  0.000  0.000  0.000 x1
H  0.500  0.500  0.500 x1
Pd  0.000  0.500  0.500 x2
Pd  0.500  0.500  0.198 x2

For the total moment, the calculation gives 0.000 μB/atom. The crystal system is tetragonal. The value obtained for the electronic total energy is -5.2183 eV per atom.